# Dy6Al43V4

Dy6Al43V4 after structural relaxation (PBE, Alexandria).

Unit cell a=10.983 b=10.983 c=17.655 alpha=90.00 beta=90.00 gamma=120.00
Element x y z (fractional)
Dy 0.000 0.471 0.096
Dy 0.000 0.471 0.404
Dy 0.000 0.529 0.596
Dy 0.000 0.529 0.904
Dy 0.471 0.000 0.096
Dy 0.471 0.000 0.404
Dy 0.471 0.471 0.596
Dy 0.471 0.471 0.904
Dy 0.529 0.000 0.596
Dy 0.529 0.000 0.904
Dy 0.529 0.529 0.096
Dy 0.529 0.529 0.404
Al 0.000 0.146 0.750
Al 0.000 0.156 0.116
Al 0.000 0.156 0.384
Al 0.000 0.252 0.529
Al 0.000 0.252 0.971
Al 0.000 0.748 0.029
Al 0.000 0.748 0.471
Al 0.000 0.844 0.616
Al 0.000 0.844 0.884
Al 0.000 0.854 0.250
Al 0.145 0.548 0.250
Al 0.145 0.597 0.750
Al 0.146 0.000 0.750
Al 0.146 0.146 0.250
Al 0.156 0.000 0.116
Al 0.156 0.000 0.384
Al 0.156 0.156 0.616
Al 0.156 0.156 0.884
Al 0.159 0.392 0.665
Al 0.159 0.392 0.835
Al 0.159 0.767 0.165
Al 0.159 0.767 0.335
Al 0.233 0.392 0.165
Al 0.233 0.392 0.335
Al 0.233 0.841 0.665
Al 0.233 0.841 0.835
Al 0.247 0.493 0.000
Al 0.247 0.493 0.500
Al 0.247 0.753 0.000
Al 0.247 0.753 0.500
Al 0.252 0.000 0.529
Al 0.252 0.000 0.971
Al 0.252 0.252 0.029
Al 0.252 0.252 0.471
Al 0.333 0.667 0.127
Al 0.333 0.667 0.373
Al 0.333 0.667 0.627
Al 0.333 0.667 0.873
Al 0.392 0.159 0.665
Al 0.392 0.159 0.835
Al 0.392 0.233 0.165
Al 0.392 0.233 0.335
Al 0.403 0.548 0.750
Al 0.403 0.855 0.250
Al 0.452 0.597 0.250
Al 0.452 0.855 0.750
Al 0.493 0.247 0.000
Al 0.493 0.247 0.500
Al 0.507 0.753 0.000
Al 0.507 0.753 0.500
Al 0.548 0.145 0.250
Al 0.548 0.403 0.750
Al 0.597 0.145 0.750
Al 0.597 0.452 0.250
Al 0.608 0.767 0.665
Al 0.608 0.767 0.835
Al 0.608 0.841 0.165
Al 0.608 0.841 0.335
Al 0.667 0.333 0.127
Al 0.667 0.333 0.373
Al 0.667 0.333 0.627
Al 0.667 0.333 0.873
Al 0.748 0.000 0.029
Al 0.748 0.000 0.471
Al 0.748 0.748 0.529
Al 0.748 0.748 0.971
Al 0.753 0.247 0.000
Al 0.753 0.247 0.500
Al 0.753 0.507 0.000
Al 0.753 0.507 0.500
Al 0.767 0.159 0.165
Al 0.767 0.159 0.335
Al 0.767 0.608 0.665
Al 0.767 0.608 0.835
Al 0.841 0.233 0.665
Al 0.841 0.233 0.835
Al 0.841 0.608 0.165
Al 0.841 0.608 0.335
Al 0.844 0.000 0.616
Al 0.844 0.000 0.884
Al 0.844 0.844 0.116
Al 0.844 0.844 0.384
Al 0.854 0.000 0.250
Al 0.854 0.854 0.750
Al 0.855 0.403 0.250
Al 0.855 0.452 0.750
V 0.000 0.000 0.000
V 0.000 0.000 0.500
V 0.000 0.269 0.250
V 0.000 0.731 0.750
V 0.269 0.000 0.250
V 0.269 0.269 0.750
V 0.731 0.000 0.750
V 0.731 0.731 0.250

Computed properties:
Magnetic moment = 0.0 μB/cell
Formation energy from the elements = -0.316 eV per atom
ρ = 4.212 g/cm3
DFT total energy = -4.56 eV per atom